Entry 1:
# BaSnMo3 PBE-GGA relaxed
# Calculated density, kg/m3: 6987
# Formation energy from the elements, meV per atom: 2883
data_BaSnMo3
_chemical_formula_sum 'Ba1 Sn1 Mo3'
_symmetry_space_group_name_H-M 'P m -3 m'
_symmetry_Int_Tables_number 221
_symmetry_space_group_name_Hall '-P 4 2 3'
_cell_length_a 5.056
_cell_length_b 5.056
_cell_length_c 5.056
_cell_angle_alpha 90.00
_cell_angle_beta 90.00
_cell_angle_gamma 90.00
loop_
_atom_site_label
_atom_site_type_symbol
_atom_site_fract_x
_atom_site_fract_y
_atom_site_fract_z
Ba1 Ba 0.000 0.000 0.000
Sn1 Sn 0.500 0.500 0.500
Mo1 Mo 0.000 0.000 0.500

Entry 2:
# TlInGa2Fe PBE-GGA relaxed
# Calculated density, kg/m3: 7701
# Formation energy from the elements, meV per atom: 49
data_TlInGa2Fe
_chemical_formula_sum 'Tl1 In1 Ga2 Fe1'
_symmetry_space_group_name_H-M 'P 4/m m m'
_symmetry_Int_Tables_number 123
_symmetry_space_group_name_Hall '-P 4 2'
_cell_length_a 4.697
_cell_length_b 4.697
_cell_length_c 5.029
_cell_angle_alpha 90.00
_cell_angle_beta 90.00
_cell_angle_gamma 90.00
loop_
_atom_site_label
_atom_site_type_symbol
_atom_site_fract_x
_atom_site_fract_y
_atom_site_fract_z
Tl1 Tl 0.000 0.000 0.000
In1 In 0.500 0.500 0.000
Ga1 Ga 0.000 0.500 0.500
Fe1 Fe 0.500 0.500 0.500

Entry 3:
# CeZnSnPd3 PBE-GGA relaxed
# Calculated density, kg/m3: 7818
# Formation energy from the elements, meV per atom: -410
data_CeZnSnPd3
_chemical_formula_sum 'Ce4 Zn4 Sn4 Pd12'
_symmetry_space_group_name_H-M 'C m c m'
_symmetry_Int_Tables_number 63
_symmetry_space_group_name_Hall '-C 2c 2'
_cell_length_a 5.718
_cell_length_b 16.950
_cell_length_c 5.641
_cell_angle_alpha 90.00
_cell_angle_beta 90.00
_cell_angle_gamma 90.00
loop_
_atom_site_label
_atom_site_type_symbol
_atom_site_fract_x
_atom_site_fract_y
_atom_site_fract_z
Ce1 Ce 0.000 0.202 0.250
Zn1 Zn 0.000 0.098 0.750
Sn1 Sn 0.000 0.401 0.750
Pd1 Pd 0.000 0.245 0.750
Pd2 Pd 0.240 0.000 0.000